[1]
First-principles (PBE) data for a relaxed Rb2YInF6 crystal, as listed in Alexandria.

Computed properties:
- Total energy: -52.8 eV/cell
- SG: Fm-3m, No. 225
- V: 22.22 Å³ per atom
- Uncorrected formation energy: -3.05 eV/atom
- E above lowest polymorph: 3.4 kJ/mol of atoms

Unit cell a=6.798 b=6.798 c=6.798 alpha=60.00 beta=60.00 gamma=60.00
Sites, in units of the cell vectors:
Rb 0.250 0.250 0.250
Rb 0.750 0.750 0.750
Y 0.000 0.000 0.000
In 0.500 0.500 0.500
F 0.228 0.228 0.772
F 0.228 0.772 0.228
F 0.228 0.772 0.772
F 0.772 0.228 0.228
F 0.772 0.228 0.772
F 0.772 0.772 0.228


[2]
First-principles (PBE) data for a relaxed Rb3Zn2InF9 crystal, as listed in Alexandria.

Computed properties:
- Total energy: -62.2 eV/cell
- SG: P-3m1, No. 164
- V: 16.17 Å³ per atom
- Uncorrected formation energy: -2.48 eV/atom

Unit cell a=6.104 b=6.104 c=7.518 alpha=90.00 beta=90.00 gamma=120.00
Sites, in units of the cell vectors:
Rb 0.000 0.000 0.000
Rb 0.333 0.667 0.674
Rb 0.667 0.333 0.326
Zn 0.333 0.667 0.155
Zn 0.667 0.333 0.845
In 0.000 0.000 0.500
F 0.000 0.500 0.000
F 0.175 0.349 0.321
F 0.175 0.825 0.321
F 0.349 0.175 0.679
F 0.500 0.000 0.000
F 0.500 0.500 0.000
F 0.651 0.825 0.321
F 0.825 0.175 0.679
F 0.825 0.651 0.679


[3]
First-principles (PBE) data for a relaxed Rb2ZnInF6 crystal, as listed in Alexandria.

Computed properties:
- Total energy: -41.7 eV/cell
- SG: Fm-3m, No. 225
- V: 16.95 Å³ per atom
- Uncorrected formation energy: -2.45 eV/atom

Unit cell a=6.213 b=6.213 c=6.213 alpha=60.00 beta=60.00 gamma=60.00
Sites, in units of the cell vectors:
Rb 0.250 0.250 0.250
Rb 0.750 0.750 0.750
Zn 0.000 0.000 0.000
In 0.500 0.500 0.500
F 0.238 0.238 0.762
F 0.238 0.762 0.238
F 0.238 0.762 0.762
F 0.762 0.238 0.238
F 0.762 0.238 0.762
F 0.762 0.762 0.238


[4]
First-principles (PBE) data for a relaxed RbZrIn2F8 crystal, as listed in Alexandria.

Computed properties:
- Total energy: -63.5 eV/cell
- SG: P-1, No. 2
- V: 18.72 Å³ per atom
- Uncorrected formation energy: -2.79 eV/atom

Unit cell a=5.233 b=5.966 c=7.200 alpha=90.12 beta=92.12 gamma=90.23
Sites, in units of the cell vectors:
Rb 0.000 0.000 0.000
Zr 0.000 0.000 0.500
In 0.490 0.501 0.736
In 0.510 0.499 0.264
F 0.136 0.753 0.677
F 0.139 0.246 0.679
F 0.314 0.001 0.347
F 0.494 0.711 0.000
F 0.506 0.289 0.000
F 0.686 0.999 0.653
F 0.861 0.754 0.321
F 0.864 0.247 0.323


[5]
First-principles (PBE) data for a relaxed RbZrInF6 crystal, as listed in Alexandria.

Computed properties:
- Total energy: -102.5 eV/cell
- SG: P-31c, No. 163
- V: 20.05 Å³ per atom
- Uncorrected formation energy: -3.08 eV/atom

Unit cell a=6.860 b=6.860 c=8.854 alpha=90.00 beta=90.00 gamma=120.00
Sites, in units of the cell vectors:
Rb 0.333 0.667 0.250
Rb 0.667 0.333 0.750
Zr 0.333 0.667 0.750
Zr 0.667 0.333 0.250
In 0.000 0.000 0.000
In 0.000 0.000 0.500
F 0.090 0.413 0.622
F 0.090 0.677 0.878
F 0.323 0.413 0.878
F 0.323 0.910 0.622
F 0.413 0.090 0.122
F 0.413 0.323 0.378
F 0.587 0.677 0.622
F 0.587 0.910 0.878
F 0.677 0.090 0.378
F 0.677 0.587 0.122
F 0.910 0.323 0.122
F 0.910 0.587 0.378


[6]
First-principles (PBE) data for a relaxed RbZr2InF crystal, as listed in Alexandria.

Computed properties:
- Total energy: -19.6 eV/cell
- SG: P4/mmm, No. 123
- V: 44.61 Å³ per atom
- Uncorrected formation energy: 0.62 eV/atom

Unit cell a=5.368 b=5.368 c=7.739 alpha=90.00 beta=90.00 gamma=90.00
Sites, in units of the cell vectors:
Rb 0.000 0.000 0.000
Zr 0.000 0.500 0.500
Zr 0.500 0.000 0.500
In 0.000 0.000 0.500
F 0.500 0.500 0.000


[7]
First-principles (PBE) data for a relaxed InReF3 crystal, as listed in Alexandria.

Computed properties:
- Total energy: -25.0 eV/cell
- SG: Pm-3m, No. 221
- V: 16.19 Å³ per atom
- Uncorrected formation energy: -0.84 eV/atom
- E above lowest polymorph: 0.0 kJ/mol of atoms

Unit cell a=4.325 b=4.325 c=4.325 alpha=90.00 beta=90.00 gamma=90.00
Sites, in units of the cell vectors:
In 0.000 0.000 0.000
Re 0.500 0.500 0.500
F 0.000 0.500 0.500
F 0.500 0.000 0.500
F 0.500 0.500 0.000


[8]
First-principles (PBE) data for a relaxed InReF2 crystal, as listed in Alexandria.

Computed properties:
- Total energy: -18.2 eV/cell
- SG: Fm-3m, No. 225
- V: 14.30 Å³ per atom
- Uncorrected formation energy: 0.19 eV/atom
- E above lowest polymorph: 114.1 kJ/mol of atoms

Unit cell a=4.325 b=4.325 c=4.325 alpha=60.00 beta=60.00 gamma=60.00
Sites, in units of the cell vectors:
In 0.000 0.000 0.000
Re 0.500 0.500 0.500
F 0.250 0.250 0.250
F 0.750 0.750 0.750


Question: Which value of total energy does entry 3 give?
Answer: -41.7 eV/cell


Copy entry 6 word for word.
First-principles (PBE) data for a relaxed RbZr2InF crystal, as listed in Alexandria.

Computed properties:
- Total energy: -19.6 eV/cell
- SG: P4/mmm, No. 123
- V: 44.61 Å³ per atom
- Uncorrected formation energy: 0.62 eV/atom

Unit cell a=5.368 b=5.368 c=7.739 alpha=90.00 beta=90.00 gamma=90.00
Sites, in units of the cell vectors:
Rb 0.000 0.000 0.000
Zr 0.000 0.500 0.500
Zr 0.500 0.000 0.500
In 0.000 0.000 0.500
F 0.500 0.500 0.000